# 1
Entry from Alexandria: a relaxed structure of BaZnGaRe2 (PBE).

Calculated values
- crystal system = tetragonal
- calculated formation energy (eV/atom) = 2.913
- space group = P4/mmm (123)
- E (eV/atom) = -3.311

Lattice parameters (Å, degrees): 5.3541 5.3541 5.7135 90.00 90.00 90.00
Atoms (fractional coordinates):
1 Ba 0.0000 0.0000 0.0000
2 Zn 0.0000 0.0000 0.5000
3 Ga 0.5000 0.5000 0.5000
4 Re 0.0000 0.5000 0.0000
5 Re 0.5000 0.0000 0.0000

=====

# 2
Entry from Alexandria: a relaxed structure of BaGa4Rh (PBE).

Calculated values
- crystal system = orthorhombic
- calculated formation energy (eV/atom) = -0.435
- space group = Cmcm (63)
- E (eV/atom) = -3.999

Lattice parameters (Å, degrees): 9.1866 9.1866 6.6934 90.00 90.00 150.40
Atoms (fractional coordinates):
1 Ba 0.1015 0.8985 0.7500
2 Ba 0.8985 0.1015 0.2500
3 Ga 0.1326 0.8674 0.2500
4 Ga 0.2844 0.7156 0.5326
5 Ga 0.2844 0.7156 0.9674
6 Ga 0.5000 0.5000 0.0000
7 Ga 0.5000 0.5000 0.5000
8 Ga 0.7156 0.2844 0.0326
9 Ga 0.7156 0.2844 0.4674
10 Ga 0.8674 0.1326 0.7500
11 Rh 0.4051 0.5949 0.7500
12 Rh 0.5949 0.4051 0.2500